1.
! AcThNi2 (PBE, relaxed); values from VASP
! Energy of formation: -0.1275 eV per atom
! Symmetry: No. 225
&SYSTEM
  ibrav = 0, nat = 4, ntyp = 3
/
ATOMIC_SPECIES
Ac 227.00 Ac.upf
Th 232.04 Th.upf
Ni 58.69 Ni.upf
CELL_PARAMETERS angstrom
0.0000 3.5859 3.5859
3.5859 0.0000 3.5859
3.5859 3.5859 0.0000
ATOMIC_POSITIONS angstrom
Ac 0.0000 0.0000 0.0000
Th 3.5859 3.5859 3.5859
Ni 1.7929 1.7929 1.7929
Ni 5.3788 5.3788 5.3788

2.
! AcThNi4 (PBE, relaxed); values from VASP
! Energy of formation: -0.2278 eV per atom
! Symmetry: No. 216
&SYSTEM
  ibrav = 0, nat = 6, ntyp = 3
/
ATOMIC_SPECIES
Ac 227.00 Ac.upf
Th 232.04 Th.upf
Ni 58.69 Ni.upf
CELL_PARAMETERS angstrom
0.0000 3.7210 3.7210
3.7210 0.0000 3.7210
3.7210 3.7210 0.0000
ATOMIC_POSITIONS angstrom
Ac 0.0000 0.0000 0.0000
Th 1.8605 1.8605 1.8605
Ni 4.6442 2.7978 2.7978
Ni 2.7978 4.6442 2.7978
Ni 2.7978 2.7978 4.6442
Ni 4.6442 4.6442 4.6442

Across the entries above, energy above the most stable polymorph in this dataset takes the values 0.123; 0.102 eV/atom, respectively.